(1)
## CoHSeBr (GGA-PBE)

Data for a relaxed structure of CoHSeBr.

a = 6.1806 Å, b = 4.0543 Å, c = 7.0472 Å
α = 90.00°, β = 90.09°, γ = 90.00°
Last column: nearest neighbours and their distance in Å.
Element x y z (fractional)
Co 0.8943 0.0000 0.2928  1 Br 2.31, 3 Se 2.44
Co 0.8943 0.5000 0.7928  1 Br 2.31, 3 Se 2.44
H 0.5447 0.0000 0.6246  1 Se 1.50
H 0.5447 0.5000 0.1246  1 Se 1.50
Se 0.7877 0.0000 0.6255  1 H 1.50
Se 0.7877 0.5000 0.1255  1 H 1.50
Br 0.2675 0.0000 0.2927  1 Co 2.31
Br 0.2675 0.5000 0.7927  1 Co 2.31

Crystal system: monoclinic
Space-group type: Cm (8)
Energy in eV/atom: -3.948
Magnetic moment in μB/cell: 5.687
Offset from the most stable computed form in meV per atom: 59



(2)
## NbAlAsSe2 (GGA-PBE)

Data for a relaxed structure of NbAlAsSe2.

a = 4.8339 Å, b = 4.8339 Å, c = 4.7391 Å
α = 90.00°, β = 90.00°, γ = 90.00°
Last column: nearest neighbours and their distance in Å.
Element x y z (fractional)
Nb 0.5000 0.5000 0.5000  8 Se 3.38, 4 As 3.42
As 0.0000 0.0000 0.5000  2 Al 2.37
Se 0.0000 0.5000 0.0000  2 Al 2.42
Se 0.5000 0.0000 0.0000  2 Al 2.42
Al 0.0000 0.0000 0.0000  2 As 2.37, 4 Se 2.42

Crystal system: tetragonal
Space-group type: P4/mmm (123)
Formation energy (no corrections) in eV/f.u.: 2.38
Energy in eV/atom: -4.611
Magnetic moment in μB/cell: 2.064
Offset from the most stable computed form in meV per atom: 411



(3)
## TaBe2Al (GGA-PBE)

Data for a relaxed structure of TaBe2Al.

a = 6.4543 Å, b = 6.4543 Å, c = 5.2551 Å
α = 52.11°, β = 52.11°, γ = 90.00°
Last column: nearest neighbours and their distance in Å.
Element x y z (fractional)
Be 0.6024 0.1250 0.2500  2 Al 2.28, 2 Ta 2.47
Be 0.1476 0.6250 0.2500  2 Al 2.28, 2 Ta 2.47
Be 0.3750 0.3976 0.7500  2 Al 2.28, 2 Ta 2.47
Be 0.8750 0.8524 0.7500  2 Al 2.28, 2 Ta 2.47
Al 0.5000 0.5000 0.0000  4 Be 2.28
Al 0.2500 0.7500 0.5000  4 Be 2.28
Ta 0.0000 0.0000 0.0000  4 Be 2.47, 2 Al 2.61
Ta 0.7500 0.2500 0.5000  4 Be 2.47, 2 Al 2.61

Crystal system: tetragonal
Space-group type: I-42d (122)
Energy in eV/atom: -5.372
Magnetic moment in μB/cell: 0.000
Calculated formation energy in kJ/mol of atoms: 37.6



(4)
## Zr2Cu2Pd (GGA-PBE)

Data for a relaxed structure of Zr2Cu2Pd.

a = 3.9746 Å, b = 3.9746 Å, c = 6.2245 Å
α = 90.00°, β = 90.00°, γ = 111.46°
Last column: nearest neighbours and their distance in Å.
Element x y z (fractional)
Zr 0.5000 0.5000 0.7483  6 Cu 2.64-2.95, 2 Pd 2.73
Zr 0.5000 0.5000 0.2517  6 Cu 2.64-2.95, 2 Pd 2.73
Cu 0.8254 0.1746 0.5000  3 Cu 2.29-2.45
Cu 0.1746 0.8254 0.5000  3 Cu 2.29-2.45
Pd 0.0000 0.0000 0.0000  4 Zr 2.73

Crystal system: orthorhombic
Space-group type: Cmmm (65)
Energy in eV/atom: -6.175
Magnetic moment in μB/cell: 0.000
Offset from the most stable computed form in meV per atom: 218
Calculated formation energy in kJ/mol of atoms: -7.6



(5)
## CaPr2Te (GGA-PBE)

Data for a relaxed structure of CaPr2Te.

a = 4.0731 Å, b = 4.0731 Å, c = 11.5132 Å
α = 79.81°, β = 79.81°, γ = 60.00°
Last column: nearest neighbours and their distance in Å.
Element x y z (fractional)
Pr 0.1066 0.1066 0.6803  3 Te 3.11
Pr 0.8934 0.8934 0.3197  3 Te 3.11
Ca 0.0000 0.0000 0.0000  2 Pr 3.60
Te 0.5000 0.5000 0.5000  6 Pr 3.11

Crystal system: trigonal
Space-group type: R-3m (166)
Formation energy (no corrections) in eV/f.u.: -1.56
Energy in eV/atom: -4.066
Magnetic moment in μB/cell: 0.000



(6)
## Hf2ZrCd (GGA-PBE)

Data for a relaxed structure of Hf2ZrCd.

a = 10.9711 Å, b = 3.1641 Å, c = 11.8364 Å
α = 90.00°, β = 120.30°, γ = 90.00°
Last column: nearest neighbours and their distance in Å.
Element x y z (fractional)
Hf 0.9189 0.0000 0.7247  5 Hf 3.03-3.19, 2 Zr 3.04, 5 Cd 3.09-3.24
Hf 0.9189 0.5000 0.2247  5 Hf 3.03-3.19, 2 Zr 3.04, 5 Cd 3.09-3.24
Hf 0.1715 0.0000 0.2242  1 Zr 3.09, 2 Cd 3.10, 9 Hf 3.11-3.28
Hf 0.1715 0.5000 0.7242  1 Zr 3.09, 2 Cd 3.10, 9 Hf 3.11-3.28
Hf 0.2104 0.0000 0.9666  8 Hf 3.03-3.28, 2 Zr 3.15, 2 Cd 3.17
Hf 0.2104 0.5000 0.4666  8 Hf 3.03-3.28, 2 Zr 3.15, 2 Cd 3.17
Hf 0.4265 0.0000 0.7322  4 Zr 3.09-3.25, 6 Hf 3.16-3.24, 2 Cd 3.21
Hf 0.4265 0.5000 0.2322  4 Zr 3.09-3.25, 6 Hf 3.16-3.24, 2 Cd 3.21
Zr 0.4640 0.0000 0.4770  6 Hf 3.09-3.25, 2 Cd 3.12, 4 Zr 3.16-3.25
Zr 0.4640 0.5000 0.9770  6 Hf 3.09-3.25, 2 Cd 3.12, 4 Zr 3.16-3.25
Zr 0.7241 0.0000 0.9788  3 Hf 3.04-3.09, 5 Cd 3.09-3.22, 4 Zr 3.16-3.25
Zr 0.7241 0.5000 0.4788  3 Hf 3.04-3.09, 5 Cd 3.09-3.22, 4 Zr 3.16-3.25
Cd 0.9641 0.0000 0.4747  3 Cd 3.03-3.16, 2 Zr 3.09, 7 Hf 3.10-3.24
Cd 0.9641 0.5000 0.9747  3 Cd 3.03-3.16, 2 Zr 3.09, 7 Hf 3.10-3.24
Cd 0.6774 0.0000 0.2264  3 Cd 3.03-3.16, 4 Hf 3.09-3.21, 5 Zr 3.12-3.22
Cd 0.6774 0.5000 0.7264  3 Cd 3.03-3.16, 4 Hf 3.09-3.21, 5 Zr 3.12-3.22

Crystal system: monoclinic
Space-group type: Cm (8)
Energy in eV/atom: -7.383
Magnetic moment in μB/cell: 0.000
Calculated formation energy in kJ/mol of atoms: -3.9